1.
Here is Ba2ZnPb after structural relaxation from Alexandria. Energies are from PBE.

Unit cell a=4.2202 b=5.6885 c=7.1427 alpha=90.00 beta=90.00 gamma=90.00
With the nearest neighbours (Å) after each atom.
Space group Pmm2 (No. 25)
Inequivalent atoms, fractional coordinates:
Ba 0.0000 0.0000 0.0000 x1  2 Pb 3.45-3.70, 4 Zn 3.59
Ba 0.5000 0.5000 0.4341 x1  2 Zn 3.48-3.66, 4 Pb 3.59
Zn 0.5000 0.5000 0.9214 x1  6 Ba 3.48-3.66
Pb 0.0000 0.0000 0.5173 x1  6 Ba 3.45-3.70

## Properties
For the formation energy from the elements, the calculation gives -154 meV/atom. The calculation puts the calculated total energy at -2.3606 eV/atom. For the magnetic moment, the calculation gives 0.000 μB per atom. Its density of states at the Fermi level is 0.872 states/eV/atom.

2.
Here is Ba2ZnPb after structural relaxation from Alexandria. Energies are from PBE.

Unit cell a=4.1910 b=5.6916 c=12.0700 alpha=90.00 beta=90.00 gamma=90.00
With the nearest neighbours (Å) after each atom.
Space group Imm2 (No. 44)
Inequivalent atoms, fractional coordinates:
Ba 0.0000 0.0000 0.0000 x2  4 Zn 3.58, 2 Ba 3.72, 2 Pb 3.85
Ba 0.0000 0.5000 0.1984 x2  2 Zn 3.62, 4 Pb 3.68, 2 Ba 3.72
Zn 0.0000 0.0000 0.4542 x2  2 Pb 2.93
Pb 0.0000 0.5000 0.7847 x2  2 Zn 2.93

## Properties
For the formation energy from the elements, the calculation gives -313 meV/atom. The calculation puts the calculated total energy at -2.5195 eV/atom. For the magnetic moment, the calculation gives 0.000 μB per atom. Its density of states at the Fermi level is 0.762 states/eV/atom.

3.
Here is BaZnPb3 after structural relaxation from Alexandria. Energies are from PBE.

Unit cell a=4.9820 b=5.5133 c=6.7631 alpha=71.52 beta=68.54 gamma=89.85
With the nearest neighbours (Å) after each atom.
Space group P1 (No. 1)
Inequivalent atoms, fractional coordinates:
Ba 0.0000 0.0000 0.0000 x1  2 Zn 3.61-3.63, 9 Pb 3.74-3.95
Zn 0.6449 0.7447 0.7158 x1  5 Pb 2.80-3.06
Pb 0.2610 0.7811 0.4812 x1  2 Zn 2.87
Pb 0.4153 0.4113 0.1656 x1  1 Zn 2.80
Pb 0.7419 0.3122 0.5142 x1  2 Zn 2.95-3.06, 2 Pb 3.24

## Properties
For the formation energy from the elements, the calculation gives -242 meV/atom. The calculation puts the calculated total energy at -3.1066 eV/atom. For the magnetic moment, the calculation gives 0.000 μB per atom. Its density of states at the Fermi level is 0.524 states/eV/atom.

4.
Here is BaZnPb2 after structural relaxation from Alexandria. Energies are from PBE.

Unit cell a=8.7804 b=5.0627 c=6.7015 alpha=90.00 beta=115.80 gamma=90.00
With the nearest neighbours (Å) after each atom.
Space group Cm (No. 8)
Inequivalent atoms, fractional coordinates:
Ba 0.0000 0.0000 0.0000 x2  3 Zn 3.49, 6 Pb 3.58-3.90
Zn 0.2287 0.0000 0.6854 x2  3 Pb 3.00
Pb 0.0243 0.5000 0.5724 x2  3 Zn 3.00, 3 Pb 3.23
Pb 0.2813 0.5000 0.3438 x2  3 Pb 3.23, 3 Zn 3.57-3.58, 3 Ba 3.58-3.59

## Properties
For the formation energy from the elements, the calculation gives -250 meV/atom. The calculation puts the calculated total energy at -2.9035 eV/atom. For the magnetic moment, the calculation gives 0.000 μB per atom. Its density of states at the Fermi level is 0.144 states/eV/atom.

5.
Here is Ba4ZnPb after structural relaxation from Alexandria. Energies are from PBE.

Unit cell a=5.8680 b=5.8680 c=8.5974 alpha=90.00 beta=90.00 gamma=90.00
With the nearest neighbours (Å) after each atom.
Space group P4/mmm (No. 123)
Inequivalent atoms, fractional coordinates:
Ba 0.0000 0.5000 0.2454 x4  2 Zn 3.61, 2 Pb 3.66
Zn 0.0000 0.0000 0.0000 x1  8 Ba 3.61
Pb 0.5000 0.5000 0.5000 x1  8 Ba 3.66

## Properties
For the formation energy from the elements, the calculation gives -208 meV/atom. The calculation puts the calculated total energy at -2.3203 eV/atom. For the magnetic moment, the calculation gives 0.001 μB per atom. Its density of states at the Fermi level is 1.221 states/eV/atom.

6.
Here is BaZn3Pb3 after structural relaxation from Alexandria. Energies are from PBE.

Unit cell a=7.6968 b=7.6968 c=7.6968 alpha=90.00 beta=90.00 gamma=90.00
With the nearest neighbours (Å) after each atom.
Space group Pm-3n (No. 223)
Inequivalent atoms, fractional coordinates:
Ba 0.0000 0.0000 0.0000 x2  12 Pb 4.30, 12 Zn 4.30
Zn 0.0000 0.2500 0.5000 x6  4 Pb 2.72
Pb 0.0000 0.5000 0.2500 x6  4 Zn 2.72

## Properties
For the formation energy from the elements, the calculation gives 38 meV/atom. The calculation puts the calculated total energy at -2.3719 eV/atom. For the magnetic moment, the calculation gives 0.000 μB per atom. Its density of states at the Fermi level is 0.702 states/eV/atom.

7.
Here is Ba2ZnPb after structural relaxation from Alexandria. Energies are from PBE.

Unit cell a=4.0801 b=4.0801 c=9.7850 alpha=90.00 beta=90.00 gamma=90.00
With the nearest neighbours (Å) after each atom.
Space group P4mm (No. 99)
Inequivalent atoms, fractional coordinates:
Ba 0.0000 0.0000 0.0000 x1  4 Zn 3.51, 1 Pb 3.53
Ba 0.5000 0.5000 0.4032 x1  4 Pb 3.70, 1 Zn 3.85, 4 Ba 4.08
Zn 0.5000 0.5000 0.7965 x1  4 Pb 3.27, 4 Ba 3.51
Pb 0.0000 0.0000 0.6397 x1  4 Zn 3.27, 1 Ba 3.53

## Properties
For the formation energy from the elements, the calculation gives -140 meV/atom. The calculation puts the calculated total energy at -2.3467 eV/atom. For the magnetic moment, the calculation gives 0.124 μB per atom. Its density of states at the Fermi level is 0.926 states/eV/atom.

8.
Here is Ba5Zn2Pb after structural relaxation from Alexandria. Energies are from PBE.

Unit cell a=8.7000 b=8.7000 c=18.1247 alpha=90.00 beta=90.00 gamma=90.00
With the nearest neighbours (Å) after each atom.
Space group I4/mcm (No. 140)
Inequivalent atoms, fractional coordinates:
Ba 0.0000 0.0000 0.0000 x4  4 Zn 3.55
Ba 0.1796 0.3204 0.1458 x16  3 Zn 3.68-3.74, 2 Pb 3.71
Zn 0.1052 0.3948 0.5000 x8  1 Zn 2.59
Pb 0.0000 0.0000 0.2500 x4  8 Ba 3.71

## Properties
For the formation energy from the elements, the calculation gives -253 meV/atom. The calculation puts the calculated total energy at -2.2367 eV/atom. For the magnetic moment, the calculation gives 0.109 μB per atom. Its density of states at the Fermi level is 1.175 states/eV/atom.